Below is a relaxed LiY2VO6 crystal, with properties calculated at the GGA+U level.

Output
Total DFT energy (no corrections) ... -7.985 eV/atom

Lattice parameters (Å, degrees): 5.273 5.674 7.521 90.00 89.09 90.00
Sites, in units of the cell vectors:
V 0.500 0.000 0.500
V 0.000 0.500 0.000
Y 0.481 0.423 0.247
Y 0.519 0.577 0.753
Y 0.981 0.077 0.747
Y 0.019 0.923 0.253
O 0.112 0.460 0.761
O 0.388 0.960 0.739
O 0.829 0.788 0.939
O 0.888 0.540 0.239
O 0.795 0.823 0.552
O 0.671 0.288 0.561
O 0.295 0.677 0.052
O 0.171 0.212 0.061
O 0.205 0.177 0.448
O 0.705 0.323 0.948
O 0.612 0.040 0.261
O 0.329 0.712 0.439
Li 0.000 0.500 0.500
Li 0.500 0.000 0.000